# Ba2YNi3O7, single point on PBEsol structure, DFT meta-GGA SCAN
data_Ba2YNi3O7
_cell_length_a 3.811
_cell_length_b 3.769
_cell_length_c 11.399
_cell_angle_alpha 90.00
_cell_angle_beta 90.00
_cell_angle_gamma 90.00
_symmetry_space_group_name_H-M 'P 1'
_symmetry_Int_Tables_number 1
loop_
_symmetry_equiv_pos_as_xyz
'x,y,z'
loop_
_atom_site_label
_atom_site_fract_x
_atom_site_fract_y
_atom_site_fract_z
Ba1 0.500 0.000 0.320
Ba2 0.500 0.000 0.680
Y1 0.500 0.000 0.000
Ni1 0.000 0.500 0.155
Ni2 0.000 0.500 0.845
Ni3 0.000 0.500 0.500
O1 0.000 0.000 0.500
O2 0.500 0.500 0.125
O3 0.500 0.500 0.875
O4 0.000 0.000 0.122
O5 0.000 0.000 0.878
O6 0.000 0.500 0.334
O7 0.000 0.500 0.666
# Uncorrected energy (eV/atom): -17.55
# Magnetization (μB per formula unit): 3.4
# Formation energy (no corrections) (meV per atom): -2233